Material: LiSb2PtI
Method: DFT, GGA-PBE
State: optimized geometry

Cell and atoms, written as POSCAR:
```
LiSb2PtI
1.0
5.229 0.000 0.000
0.000 5.229 0.000
0.000 0.000 6.003
Pt Li Sb I
1 1 2 1
direct
0.000 0.000 0.000 Pt
0.500 0.500 0.500 Li
0.000 0.500 0.000 Sb
0.500 0.000 0.000 Sb
0.000 0.000 0.500 I
```

Computed properties:
Energy above the most stable polymorph in this dataset   0.0 kJ per mole of atoms
Formation energy (no corrections)   150.9 meV per atom
E   -3.40 eV per atom
Calculated volume   164.1 Å³/cell



Material: SrInGa
Method: DFT, GGA-PBE
State: optimized geometry

Cell and atoms, written as POSCAR:
```
SrInGa
1.0
6.089 0.108 0.068
2.984 5.309 0.068
3.037 1.814 5.056
Ga In Sr
2 2 2
direct
0.591 0.751 0.892 Ga
0.091 0.251 0.892 Ga
0.091 0.751 0.392 In
0.091 0.751 0.892 In
0.713 0.373 0.520 Sr
0.469 0.129 0.264 Sr
```

Computed properties:
Energy relative to the elements   -1.1 eV/f.u.
E   -2.86 eV per atom
Calculated volume   160.3 Å³/cell



Material: BaAlW2
Method: DFT, GGA-PBE
State: optimized geometry

Cell and atoms, written as POSCAR:
```
BaAlW2
1.0
-3.278 3.587 -0.636
-3.356 -2.653 2.390
4.311 0.972 2.117
W Ba Al
2 1 1
direct
0.000 0.000 0.000 W
0.250 0.750 0.500 W
0.750 0.250 0.500 Ba
0.500 0.500 0.000 Al
```

Computed properties:
Energy relative to the elements   4.9 eV/f.u.
E   -6.66 eV per atom
Calculated volume   83.3 Å³/cell



Material: Li2SbBr
Method: DFT, GGA-PBE
State: optimized geometry

Cell and atoms, written as POSCAR:
```
Li2SbBr
1.0
8.217 0.054 0.060
7.527 3.298 0.060
-0.027 -0.006 3.517
Sb Li Br
1 2 1
direct
0.448 0.448 0.627 Sb
0.061 0.061 0.127 Li
0.777 0.777 0.623 Li
0.214 0.214 0.123 Br
```

Computed properties:
Energy above the most stable polymorph in this dataset   4.2 kJ per mole of atoms
Formation energy (no corrections)   -828.7 meV per atom
E   -3.23 eV per atom
Calculated volume   93.9 Å³/cell



Material: Dy5Y12Er
Method: DFT, GGA-PBE
State: optimized geometry

Cell and atoms, written as POSCAR:
```
Dy5Y12Er
1.0
15.088 0.000 0.027
7.544 7.562 0.013
-0.009 0.000 5.032
Dy Y Er
5 12 1
direct
0.500 0.000 0.500 Dy
0.667 0.667 0.000 Dy
0.833 0.333 0.500 Dy
0.167 0.667 0.500 Dy
0.333 0.333 0.000 Dy
0.165 0.000 0.500 Y
0.167 0.333 0.500 Y
0.001 0.667 0.000 Y
0.666 0.000 0.000 Y
0.334 0.000 0.000 Y
0.835 0.000 0.500 Y
0.668 0.333 0.000 Y
0.833 0.667 0.500 Y
0.501 0.667 0.500 Y
0.999 0.333 0.000 Y
0.332 0.667 0.000 Y
0.499 0.333 0.500 Y
0.000 0.000 0.000 Er
```

Computed properties:
Energy relative to the elements   0.4 eV/f.u.
E   -5.82 eV per atom
Calculated volume   574.1 Å³/cell



Material: Np3Tl4Se8
Method: DFT, GGA-PBE
State: optimized geometry

Cell and atoms, written as POSCAR:
```
Np3Tl4Se8
1.0
7.520 0.000 4.056
2.666 7.032 4.056
-0.257 -0.177 9.476
Np Tl Se
3 4 8
direct
0.500 0.000 0.500 Np
0.000 0.500 0.500 Np
0.000 0.000 0.500 Np
0.360 0.360 0.919 Tl
0.500 0.500 0.500 Tl
0.640 0.640 0.081 Tl
0.000 0.000 0.000 Tl
0.251 0.251 0.696 Se
0.749 0.749 0.304 Se
0.773 0.773 0.681 Se
0.802 0.251 0.696 Se
0.227 0.227 0.319 Se
0.198 0.749 0.304 Se
0.251 0.802 0.696 Se
0.749 0.198 0.304 Se
```

Computed properties:
Formation energy (no corrections)   -788.2 meV per atom
E   -5.87 eV per atom
Calculated volume   511.9 Å³/cell



Material: CsMg2NpI8
Method: DFT, GGA-PBE
State: optimized geometry

Cell and atoms, written as POSCAR:
```
CsMg2NpI8
1.0
7.638 0.000 0.000
-3.819 6.615 0.000
0.000 0.000 11.302
I Cs Np Mg
8 1 1 2
direct
0.333 0.667 0.985 I
0.330 0.010 0.668 I
0.319 0.330 0.332 I
0.990 0.319 0.668 I
0.681 0.670 0.668 I
0.667 0.333 0.015 I
0.010 0.681 0.332 I
0.670 0.990 0.332 I
0.000 0.000 0.000 Cs
0.000 0.000 0.500 Np
0.333 0.667 0.750 Mg
0.667 0.333 0.250 Mg
```

Computed properties:
Formation energy (no corrections)   -1025.8 meV per atom
E   -3.47 eV per atom
Calculated volume   571.1 Å³/cell



Material: Hf6TiSb3
Method: DFT, GGA-PBE
State: optimized geometry

Cell and atoms, written as POSCAR:
```
Hf6TiSb3
1.0
-1.263 -6.977 -0.836
6.939 -0.806 -3.756
3.384 -1.454 7.024
Sb Hf Ti
6 12 2
direct
0.407 0.883 0.767 Sb
0.786 0.630 0.370 Sb
0.407 0.233 0.117 Sb
0.286 0.370 0.630 Sb
0.907 0.117 0.233 Sb
0.907 0.767 0.883 Sb
0.786 0.444 0.038 Hf
0.786 0.962 0.556 Hf
0.286 0.556 0.962 Hf
0.618 0.299 0.422 Hf
0.618 0.578 0.701 Hf
0.573 0.884 0.116 Hf
0.592 0.206 0.794 Hf
0.118 0.701 0.578 Hf
0.118 0.422 0.299 Hf
0.286 0.038 0.444 Hf
0.092 0.794 0.206 Hf
0.073 0.116 0.884 Hf
0.412 0.662 0.338 Ti
0.912 0.338 0.662 Ti
```

Computed properties:
Formation energy (no corrections)   -259.6 meV per atom
E   -8.26 eV per atom
Calculated volume   448.9 Å³/cell



Material: LiPuMg2In4
Method: DFT, GGA-PBE
State: optimized geometry

Cell and atoms, written as POSCAR:
```
LiPuMg2In4
1.0
-2.133 -4.095 -2.096
1.516 -4.637 1.382
-6.045 -2.997 5.876
In Li Pu Mg
4 1 1 2
direct
0.129 0.129 0.612 In
0.617 0.617 0.148 In
0.383 0.383 0.852 In
0.871 0.871 0.388 In
0.500 0.500 0.500 Li
0.000 0.000 0.000 Pu
0.252 0.252 0.244 Mg
0.748 0.748 0.756 Mg
```

Computed properties:
Energy relative to the elements   -1.4 eV/f.u.
E   -3.97 eV per atom
Calculated volume   188.2 Å³/cell



Material: KLa2
Method: DFT, GGA-PBE
State: optimized geometry

Cell and atoms, written as POSCAR:
```
KLa2
1.0
-6.323 5.784 -0.105
0.044 -6.194 5.923
3.198 3.564 3.702
K La
3 6
direct
0.000 0.000 0.500 K
0.667 0.333 0.000 K
0.333 0.667 0.000 K
0.218 0.000 0.000 La
0.562 0.000 0.500 La
0.000 0.218 0.000 La
0.000 0.562 0.500 La
0.782 0.782 0.000 La
0.438 0.438 0.500 La
```

Computed properties:
Energy relative to the elements   2.0 eV/f.u.
E   -2.97 eV per atom
Calculated volume   385.0 Å³/cell



Material: Y3Se
Method: DFT, GGA-PBE
State: optimized geometry

Cell and atoms, written as POSCAR:
```
Y3Se
1.0
-0.258 4.366 3.541
1.235 -4.637 2.938
3.542 0.622 -0.508
Y Se
3 1
direct
0.000 0.500 0.500 Y
0.500 0.000 0.500 Y
0.500 0.500 0.000 Y
0.000 0.000 0.000 Se
```

Computed properties:
Energy above the most stable polymorph in this dataset   38.5 kJ per mole of atoms
Formation energy (no corrections)   -423.2 meV per atom
E   -6.14 eV per atom
Calculated volume   108.9 Å³/cell



Material: ZrZnBr3
Method: DFT, GGA-PBE
State: optimized geometry

Cell and atoms, written as POSCAR:
```
ZrZnBr3
1.0
-3.556 -4.029 0.009
3.398 -2.992 2.894
-2.165 1.921 4.528
Br Zr Zn
3 1 1
direct
0.000 0.500 0.000 Br
0.000 0.000 0.500 Br
0.500 0.000 0.000 Br
0.000 0.000 0.000 Zr
0.500 0.500 0.500 Zn
```

Computed properties:
Energy above the most stable polymorph in this dataset   0.0 kJ per mole of atoms
Formation energy (no corrections)   -686.9 meV per atom
E   -3.66 eV per atom
Calculated volume   155.2 Å³/cell



Material: SrIn2Hg4
Method: DFT, GGA-PBE
State: optimized geometry

Cell and atoms, written as POSCAR:
```
SrIn2Hg4
1.0
-0.608 4.756 1.977
-3.509 0.829 3.727
4.518 0.152 7.827
Hg In Sr
4 2 1
direct
0.866 0.866 0.403 Hg
0.134 0.134 0.597 Hg
0.394 0.394 0.819 Hg
0.606 0.606 0.181 Hg
0.250 0.250 0.249 In
0.750 0.750 0.751 In
0.000 0.000 0.000 Sr
```

Computed properties:
Energy above the most stable polymorph in this dataset   0.0 kJ per mole of atoms
Energy relative to the elements   -1.6 eV/f.u.
E   -1.42 eV per atom
Calculated volume   198.6 Å³/cell



Material: SmLuAlRu
Method: DFT, GGA-PBE
State: optimized geometry

Cell and atoms, written as POSCAR:
```
SmLuAlRu
1.0
4.957 0.000 0.000
2.478 4.293 0.000
2.478 1.431 4.047
Sm Al Ru Lu
1 1 1 1
direct
0.000 0.000 0.000 Sm
0.250 0.250 0.250 Al
0.750 0.750 0.750 Ru
0.500 0.500 0.500 Lu
```

Computed properties:
Energy relative to the elements   -1.3 eV/f.u.
E   -5.89 eV per atom
Calculated volume   86.1 Å³/cell



Material: BaCd3
Method: DFT, GGA-PBE
State: optimized geometry

Cell and atoms, written as POSCAR:
```
BaCd3
1.0
-1.163 3.749 -2.626
-2.577 -2.775 -2.821
-4.754 0.928 3.430
Cd Ba
3 1
direct
0.500 0.000 0.457 Cd
0.000 0.500 0.457 Cd
0.500 0.500 0.771 Cd
0.000 0.000 0.981 Ba
```

Computed properties:
Energy relative to the elements   -0.6 eV/f.u.
E   -1.32 eV per atom
Calculated volume   132.4 Å³/cell



Material: ScAg3Au12
Method: DFT, GGA-PBE
State: optimized geometry

Cell and atoms, written as POSCAR:
```
ScAg3Au12
1.0
4.214 0.000 0.000
0.000 4.214 0.000
0.000 0.000 16.309
Au Ag Sc
12 3 1
direct
0.500 0.000 0.376 Au
0.500 0.000 0.875 Au
0.500 0.500 0.500 Au
0.000 0.500 0.376 Au
0.000 0.500 0.125 Au
0.500 0.500 0.000 Au
0.500 0.500 0.251 Au
0.000 0.500 0.624 Au
0.000 0.500 0.875 Au
0.500 0.500 0.749 Au
0.500 0.000 0.624 Au
0.500 0.000 0.125 Au
0.000 0.000 0.748 Ag
0.000 0.000 0.500 Ag
0.000 0.000 0.252 Ag
0.000 0.000 0.000 Sc
```

Computed properties:
Energy relative to the elements   -2.7 eV/f.u.
E   -3.55 eV per atom
Calculated volume   289.6 Å³/cell



Material: Pa2HgTe
Method: DFT, GGA-PBE
State: optimized geometry

Cell and atoms, written as POSCAR:
```
Pa2HgTe
1.0
-1.189 -0.769 3.260
-2.999 -1.295 -1.400
3.384 -7.309 -0.489
Te Pa Hg
1 2 1
direct
0.500 0.500 0.000 Te
0.000 0.000 0.759 Pa
0.000 0.000 0.241 Pa
0.500 0.500 0.500 Hg
```

Computed properties:
Energy above the most stable polymorph in this dataset   0.0 kJ per mole of atoms
Formation energy (no corrections)   -187.0 meV per atom
E   -5.80 eV per atom
Calculated volume   101.9 Å³/cell



Material: HfSeO
Method: DFT, GGA-PBE
State: optimized geometry

Cell and atoms, written as POSCAR:
```
HfSeO
1.0
3.610 0.000 0.000
-1.805 3.126 0.000
0.000 0.000 8.431
Se O Hf
2 2 2
direct
0.000 0.000 0.617 Se
0.000 0.000 0.117 Se
0.333 0.667 0.367 O
0.667 0.333 0.867 O
0.333 0.667 0.867 Hf
0.667 0.333 0.367 Hf
```

Computed properties:
Formation energy (no corrections)   -2163.0 meV per atom
E   -8.30 eV per atom
Calculated volume   95.1 Å³/cell



Material: Rb2Ba2Se
Method: DFT, GGA-PBE
State: optimized geometry

Cell and atoms, written as POSCAR:
```
Rb2Ba2Se
1.0
8.821 0.000 0.000
0.000 8.821 0.000
0.000 0.000 8.395
Ba Se Rb
4 2 4
direct
0.812 0.688 0.000 Ba
0.688 0.188 0.000 Ba
0.312 0.812 0.000 Ba
0.188 0.312 0.000 Ba
0.500 0.500 0.000 Se
0.000 0.000 0.000 Se
0.170 0.670 0.500 Rb
0.330 0.170 0.500 Rb
0.830 0.330 0.500 Rb
0.670 0.830 0.500 Rb
```

Computed properties:
Formation energy (no corrections)   -550.7 meV per atom
E   -2.40 eV per atom
Calculated volume   653.3 Å³/cell



Material: Y3Cu2Hg
Method: DFT, GGA-PBE
State: optimized geometry

Cell and atoms, written as POSCAR:
```
Y3Cu2Hg
1.0
3.544 0.000 0.000
0.000 3.544 0.000
0.000 0.000 10.873
Hg Y Cu
1 3 2
direct
0.500 0.500 0.500 Hg
0.000 0.000 0.686 Y
0.000 0.000 0.314 Y
0.000 0.000 0.000 Y
0.500 0.500 0.841 Cu
0.500 0.500 0.159 Cu
```

Computed properties:
Energy relative to the elements   -1.9 eV/f.u.
E   -4.97 eV per atom
Calculated volume   136.6 Å³/cell



Material: InFe2S
Method: DFT, GGA-PBE
State: optimized geometry

Cell and atoms, written as POSCAR:
```
InFe2S
1.0
-1.024 -1.077 4.000
-3.225 -2.698 0.724
0.796 -3.945 1.417
Fe S In
2 1 1
direct
0.250 0.250 0.250 Fe
0.750 0.750 0.750 Fe
0.000 0.000 0.000 S
0.500 0.500 0.500 In
```

Computed properties:
Energy above the most stable polymorph in this dataset   39.7 kJ per mole of atoms
Formation energy (no corrections)   654.2 meV per atom
E   -5.29 eV per atom
Calculated volume   54.9 Å³/cell



Material: NbCo2Ni
Method: DFT, GGA-PBE
State: optimized geometry

Cell and atoms, written as POSCAR:
```
NbCo2Ni
1.0
-2.115 -0.784 -3.454
1.997 -0.477 -3.578
0.225 -3.727 -1.756
Co Nb Ni
2 1 1
direct
0.750 0.750 0.750 Co
0.250 0.250 0.250 Co
0.000 0.000 0.000 Nb
0.500 0.500 0.500 Ni
```

Computed properties:
Energy above the most stable polymorph in this dataset   16.1 kJ per mole of atoms
Energy relative to the elements   -0.1 eV/f.u.
E   -7.55 eV per atom
Calculated volume   49.7 Å³/cell



Material: Re2AgHg
Method: DFT, GGA-PBE
State: optimized geometry

Cell and atoms, written as POSCAR:
```
Re2AgHg
1.0
-2.885 -2.714 -3.586
5.014 1.436 -1.162
0.917 -2.357 1.046
Ag Re Hg
1 2 1
direct
0.500 0.000 0.500 Ag
0.500 0.500 0.000 Re
0.000 0.000 0.000 Re
0.000 0.500 0.500 Hg
```

Computed properties:
Energy relative to the elements   3.9 eV/f.u.
E   -6.05 eV per atom
Calculated volume   67.8 Å³/cell



Material: Mn2GaHRh
Method: DFT, GGA-PBE
State: optimized geometry

Cell and atoms, written as POSCAR:
```
Mn2GaHRh
1.0
-1.184 2.871 -2.186
-0.262 -2.363 -2.962
-3.700 -0.795 0.961
Mn H Ga Rh
2 1 1 1
direct
0.000 0.500 0.000 Mn
0.500 0.000 0.000 Mn
0.000 0.000 0.000 H
0.500 0.500 0.500 Ga
0.000 0.000 0.500 Rh
```

Computed properties:
Energy above the most stable polymorph in this dataset   0.0 kJ per mole of atoms
E   -6.62 eV per atom
Calculated volume   56.3 Å³/cell



Material: TaIn2Ir
Method: DFT, GGA-PBE
State: optimized geometry

Cell and atoms, written as POSCAR:
```
TaIn2Ir
1.0
9.863 0.000 0.000
9.393 3.008 0.000
9.393 1.467 2.626
Ir In Ta
1 2 1
direct
0.495 0.495 0.495 Ir
0.004 0.004 0.004 In
0.243 0.243 0.243 In
0.758 0.758 0.758 Ta
```

Computed properties:
Energy above the most stable polymorph in this dataset   16.2 kJ per mole of atoms
Energy relative to the elements   0.2 eV/f.u.
E   -6.51 eV per atom
Calculated volume   77.9 Å³/cell